w) Density functional theory data (GGA+U) for Li3VF7 after structural relaxation.

Computed properties:
Fermi-level density of states ... 0.000 states/eV/atom

```
Li3VF7
1.0
5.7638 -0.0349 -0.0254
2.5169 5.1853 -0.0254
2.5169 1.5654 4.9434
Li V F
3 1 7
direct
0.3781 0.3781 0.8932 Li
0.8932 0.3781 0.3781 Li
0.3781 0.8932 0.3781 Li
0.0004 0.0004 0.0004 V
0.2192 0.2192 0.7828 F
0.7828 0.2192 0.2192 F
0.7683 0.2196 0.7683 F
0.2491 0.2491 0.2491 F
0.2196 0.7683 0.7683 F
0.7683 0.7683 0.2196 F
0.2192 0.7828 0.2192 F
```



x) Density functional theory data (GGA+U) for Li3VF7 after structural relaxation.

Computed properties:
Fermi-level density of states ... 0.000 states/eV/atom

```
Li3VF7
1.0
-2.0346 -2.0453 -4.1013
4.1182 -2.8502 0.2448
-1.4559 -5.0827 1.1198
Li V F
3 1 7
direct
0.7799 0.2659 0.4745 Li
0.4592 0.4592 0.1088 Li
0.2659 0.7799 0.4745 Li
0.9585 0.9585 0.0137 V
0.1345 0.1345 0.2156 F
0.6535 0.1222 0.1853 F
0.0135 0.3330 0.7186 F
0.1222 0.6535 0.1853 F
0.6144 0.6144 0.3422 F
0.3330 0.0135 0.7186 F
0.7904 0.7904 0.8128 F
```



Stability ranking, top and bottom: w) is the most stable and x) is the least stable.



w) Density functional theory data (GGA+U) for LiV2F7 after structural relaxation.

Computed properties:
Fermi-level density of states ... 0.000 states/eV/atom

```
LiV2F7
1.0
7.7076 -0.1453 0.0850
4.2557 6.4279 0.0850
1.3159 0.6911 5.0388
Li V F
2 4 14
direct
0.5146 0.4854 0.2500 Li
0.4854 0.5146 0.7500 Li
0.6557 0.0134 0.7384 V
0.0134 0.6557 0.2384 V
0.3443 0.9866 0.2616 V
0.9866 0.3443 0.7616 V
0.6179 0.2802 0.5481 F
0.2802 0.6179 0.0481 F
0.9106 0.8572 0.4796 F
0.8572 0.9106 0.9796 F
0.4267 0.1865 0.0091 F
0.1865 0.4267 0.5091 F
0.5000 0.0000 0.5000 F
0.0000 0.5000 0.0000 F
0.8135 0.5733 0.4909 F
0.5733 0.8135 0.9909 F
0.0894 0.1428 0.5204 F
0.1428 0.0894 0.0204 F
0.3821 0.7198 0.4519 F
0.7198 0.3821 0.9519 F
```



x) Density functional theory data (GGA+U) for LiV2F7 after structural relaxation.

Computed properties:
Fermi-level density of states ... 0.000 states/eV/atom

```
LiV2F7
1.0
3.2447 3.7125 -0.0732
-3.2447 3.7125 -0.0732
0.0000 1.6104 10.4088
Li V F
2 4 14
direct
0.2946 0.6313 0.9814 Li
0.6313 0.2946 0.4814 Li
0.7652 0.6843 0.7477 V
0.6843 0.7652 0.2477 V
0.3098 0.2366 0.7503 V
0.2366 0.3098 0.2503 V
0.4810 0.9117 0.8666 F
0.5735 0.9983 0.6304 F
0.9704 0.0241 0.2535 F
0.0504 0.4671 0.6350 F
0.5510 0.4061 0.8592 F
0.0410 0.4720 0.8690 F
0.5405 0.4994 0.6362 F
0.4061 0.5510 0.3592 F
0.9983 0.5735 0.1304 F
0.4994 0.5405 0.1362 F
0.9117 0.4810 0.3666 F
0.0241 0.9704 0.7535 F
0.4720 0.0410 0.3690 F
0.4671 0.0504 0.1350 F
```



Stability ranking, top and bottom: w) is the most stable and x) is the least stable.



w) Density functional theory data (GGA+U) for LiV2F7 after structural relaxation.

Computed properties:
Fermi-level density of states ... 0.000 states/eV/atom

```
LiV2F7
1.0
-2.6430 4.1278 1.7581
0.3550 -1.9937 5.2147
8.7499 4.1492 3.4121
Li V F
2 4 14
direct
0.9814 0.5000 0.2500 Li
0.0186 0.5000 0.7500 Li
0.2507 0.9264 0.4292 V
0.7493 0.9264 0.9292 V
0.2507 0.0736 0.0708 V
0.7493 0.0736 0.5708 V
0.4195 0.0000 0.2500 F
0.5805 0.0000 0.7500 F
0.9531 0.8459 0.1091 F
0.0469 0.8459 0.6091 F
0.4429 0.7807 0.0254 F
0.5571 0.7807 0.5254 F
0.0922 0.6606 0.3784 F
0.9078 0.6606 0.8784 F
0.0922 0.3394 0.1216 F
0.9078 0.3394 0.6216 F
0.4429 0.2193 0.4746 F
0.5571 0.2193 0.9746 F
0.9531 0.1541 0.3909 F
0.0469 0.1541 0.8909 F
```



x) Density functional theory data (GGA+U) for LiV2F7 after structural relaxation.

Computed properties:
Fermi-level density of states ... 0.000 states/eV/atom

```
LiV2F7
1.0
-5.1079 -4.3180 -6.1802
-1.0002 -6.9682 -5.7770
-2.4333 -3.1721 3.9398
Li V F
2 4 14
direct
0.5000 0.0000 0.0000 Li
0.0000 0.5000 0.5000 Li
0.8502 0.3610 0.2073 V
0.3610 0.8502 0.7073 V
0.6390 0.1498 0.2927 V
0.1498 0.6390 0.7927 V
0.6376 0.5103 0.9064 F
0.5103 0.6376 0.4064 F
0.2008 0.0781 0.0103 F
0.0781 0.2008 0.5103 F
0.6127 0.7997 0.6977 F
0.7997 0.6127 0.1977 F
0.2003 0.3873 0.8023 F
0.3873 0.2003 0.3023 F
0.9219 0.7992 0.4897 F
0.7992 0.9219 0.9897 F
0.4897 0.3624 0.5936 F
0.3624 0.4897 0.0936 F
0.8876 0.1124 0.2500 F
0.1124 0.8876 0.7500 F
```



Stability ranking, top and bottom: x) is the most stable and w) is the least stable.



w) Density functional theory data (GGA+U) for LiV2F7 after structural relaxation.

Computed properties:
Fermi-level density of states ... 0.000 states/eV/atom

```
LiV2F7
1.0
-0.6346 4.2363 3.3923
0.0206 -3.6890 5.7713
8.1161 0.5240 -2.8809
Li V F
2 4 14
direct
0.1301 0.0213 0.7488 Li
0.8699 0.9787 0.2512 Li
0.7200 0.7110 0.8131 V
0.1980 0.4786 0.6730 V
0.8020 0.5214 0.3270 V
0.2800 0.2890 0.1869 V
0.3056 0.1824 0.9654 F
0.0870 0.6046 0.8768 F
0.5681 0.4401 0.7632 F
0.1144 0.2040 0.6207 F
0.3351 0.7612 0.7115 F
0.8247 0.9386 0.7727 F
0.8106 0.5511 0.5715 F
0.1894 0.4489 0.4285 F
0.1753 0.0614 0.2273 F
0.6649 0.2388 0.2885 F
0.8856 0.7960 0.3793 F
0.4319 0.5599 0.2368 F
0.9130 0.3954 0.1232 F
0.6944 0.8176 0.0346 F
```



x) Density functional theory data (GGA+U) for LiV2F7 after structural relaxation.

Computed properties:
Fermi-level density of states ... 0.000 states/eV/atom

```
LiV2F7
1.0
-1.4746 -4.8070 -5.5189
6.6529 -3.3094 0.7260
-4.8374 0.7068 5.6427
Li V F
2 4 14
direct
0.5000 0.5000 0.0000 Li
0.0000 0.0000 0.0000 Li
0.0000 0.0000 0.5000 V
0.5000 0.0000 0.0000 V
0.0000 0.5000 0.5000 V
0.5000 0.0000 0.5000 V
0.0507 0.2946 0.2440 F
0.1818 0.9430 0.3660 F
0.5769 0.9430 0.7612 F
0.5507 0.3067 0.7560 F
0.2500 0.0946 0.8446 F
0.6818 0.3158 0.2388 F
0.0769 0.3158 0.6340 F
0.9231 0.6842 0.3660 F
0.3182 0.6842 0.7612 F
0.7500 0.9054 0.1554 F
0.4493 0.6933 0.2440 F
0.4231 0.0570 0.2388 F
0.8182 0.0570 0.6340 F
0.9493 0.7054 0.7560 F
```



Stability ranking, top and bottom: x) is the most stable and w) is the least stable.



w) Density functional theory data (GGA+U) for LiVF3 after structural relaxation.

Computed properties:
Fermi-level density of states ... 0.986 states/eV/atom

```
LiVF3
1.0
3.6867 0.0000 0.0000
0.0000 3.6867 0.0000
0.0000 0.0000 3.6867
V Li F
1 1 3
direct
0.5000 0.5000 0.5000 V
0.0000 0.0000 0.0000 Li
0.0000 0.5000 0.0000 F
0.0000 0.0000 0.5000 F
0.5000 0.0000 0.0000 F
```



x) Density functional theory data (GGA+U) for LiVF3 after structural relaxation.

Computed properties:
Fermi-level density of states ... 0.003 states/eV/atom

```
LiVF3
1.0
4.1388 0.0000 0.0000
0.0000 4.1388 0.0000
0.0000 0.0000 4.1388
V Li F
1 1 3
direct
0.0000 0.0000 0.0000 V
0.5000 0.5000 0.5000 Li
0.0000 0.5000 0.0000 F
0.0000 0.0000 0.5000 F
0.5000 0.0000 0.0000 F
```



Stability ranking, top and bottom: x) is the most stable and w) is the least stable.



w) Density functional theory data (GGA+U) for LiVF3 after structural relaxation.

Computed properties:
Fermi-level density of states ... 0.000 states/eV/atom

```
LiVF3
1.0
-0.9976 -1.2269 5.1245
-0.6463 -5.2070 -1.3724
7.6486 -1.2622 1.1868
Li V F
4 4 12
direct
0.0165 0.0209 0.2500 Li
0.5165 0.4791 0.7500 Li
0.4835 0.5209 0.2500 Li
0.9835 0.9791 0.7500 Li
0.5000 0.0000 0.0000 V
0.5000 0.0000 0.5000 V
0.0000 0.5000 0.0000 V
0.0000 0.5000 0.5000 V
0.6347 0.1032 0.7500 F
0.1604 0.1634 0.5748 F
0.1604 0.1634 0.9252 F
0.6604 0.3366 0.0748 F
0.6604 0.3366 0.4252 F
0.1347 0.3968 0.2500 F
0.8653 0.6032 0.7500 F
0.3396 0.6634 0.9252 F
0.3396 0.6634 0.5748 F
0.8396 0.8366 0.0748 F
0.8396 0.8366 0.4252 F
0.3653 0.8968 0.2500 F
```



x) Density functional theory data (GGA+U) for LiVF3 after structural relaxation.

Computed properties:
Fermi-level density of states ... 0.000 states/eV/atom

```
LiVF3
1.0
7.2313 0.0531 -0.0064
1.2745 7.1183 -0.0064
1.8838 1.5883 5.2240
Li V F
4 4 12
direct
0.7712 0.6249 0.3340 Li
0.6249 0.7712 0.8340 Li
0.3751 0.2288 0.1660 Li
0.2288 0.3751 0.6660 Li
0.9048 0.0952 0.2500 V
0.2696 0.7304 0.2500 V
0.7304 0.2696 0.7500 V
0.0952 0.9048 0.7500 V
0.9778 0.8125 0.1676 F
0.8125 0.9778 0.6676 F
0.8483 0.3552 0.3468 F
0.5688 0.7236 0.1917 F
0.3552 0.8483 0.8468 F
0.7236 0.5688 0.6917 F
0.2764 0.4312 0.3083 F
0.6448 0.1517 0.1532 F
0.4312 0.2764 0.8083 F
0.1517 0.6448 0.6532 F
0.1875 0.0222 0.3324 F
0.0222 0.1875 0.8324 F
```



Stability ranking, top and bottom: w) is the most stable and x) is the least stable.



w) Density functional theory data (GGA+U) for LiVF3 after structural relaxation.

Computed properties:
Fermi-level density of states ... 0.000 states/eV/atom

```
LiVF3
1.0
-3.5173 2.1326 2.8188
-3.7936 -2.7446 -2.6571
0.6795 -6.5781 5.8248
Li V F
4 4 12
direct
0.0000 0.2500 0.7027 Li
0.0000 0.7500 0.2973 Li
0.5000 0.7500 0.2027 Li
0.5000 0.2500 0.7973 Li
0.0000 0.7500 0.9059 V
0.0000 0.2500 0.0941 V
0.5000 0.7500 0.5941 V
0.5000 0.2500 0.4059 V
0.2160 0.9112 0.0902 F
0.2160 0.4112 0.9098 F
0.2500 0.4437 0.2500 F
0.2500 0.9437 0.7500 F
0.2840 0.9112 0.4098 F
0.2840 0.4112 0.5902 F
0.7160 0.0888 0.5902 F
0.7160 0.5888 0.4098 F
0.7500 0.0563 0.2500 F
0.7500 0.5563 0.7500 F
0.7840 0.0888 0.9098 F
0.7840 0.5888 0.0902 F
```



x) Density functional theory data (GGA+U) for LiVF3 after structural relaxation.

Computed properties:
Fermi-level density of states ... 0.000 states/eV/atom

```
LiVF3
1.0
5.2562 -0.0208 -1.4153
-3.0520 4.2795 -1.4153
-0.1978 -0.3821 5.8274
Li V F
2 2 6
direct
0.6991 0.6991 0.8464 Li
0.3009 0.3009 0.1536 Li
0.8317 0.1683 0.5000 V
0.1683 0.8317 0.5000 V
0.2960 0.6267 0.7201 F
0.3733 0.7040 0.2799 F
0.0016 0.0016 0.2459 F
0.9984 0.9984 0.7541 F
0.6267 0.2960 0.7201 F
0.7040 0.3733 0.2799 F
```



y) Density functional theory data (GGA+U) for LiVF3 after structural relaxation.

Computed properties:
Fermi-level density of states ... 0.000 states/eV/atom

```
LiVF3
1.0
6.1609 0.0000 0.0000
0.0000 6.1609 0.0000
0.0000 0.0000 6.1609
Li V F
4 4 12
direct
0.0851 0.0851 0.0851 Li
0.4149 0.9149 0.5851 Li
0.5851 0.4149 0.9149 Li
0.9149 0.5851 0.4149 Li
0.1513 0.6513 0.8487 V
0.3487 0.3487 0.3487 V
0.6513 0.8487 0.1513 V
0.8487 0.1513 0.6513 V
0.0148 0.2565 0.3709 F
0.1291 0.9852 0.7565 F
0.2565 0.3709 0.0148 F
0.2435 0.6291 0.5148 F
0.3709 0.0148 0.2565 F
0.4852 0.7435 0.8709 F
0.5148 0.2435 0.6291 F
0.6291 0.5148 0.2435 F
0.7565 0.1291 0.9852 F
0.7435 0.8709 0.4852 F
0.8709 0.4852 0.7435 F
0.9852 0.7565 0.1291 F
```



Stability ranking, top and bottom: w) is the most stable and y) is the least stable.



w) Density functional theory data (GGA+U) for LiVF3 after structural relaxation.

Computed properties:
Fermi-level density of states ... 0.000 states/eV/atom

```
LiVF3
1.0
-5.4820 -1.4422 2.3915
2.0038 -5.7010 1.1552
1.9453 1.8082 5.5496
Li V F
4 4 12
direct
0.8784 0.8784 0.8784 Li
0.1216 0.3784 0.6216 Li
0.6216 0.1216 0.3784 Li
0.3784 0.6216 0.1216 Li
0.1635 0.1635 0.1635 V
0.3365 0.8365 0.6635 V
0.6635 0.3365 0.8365 V
0.8365 0.6635 0.3365 V
0.0093 0.7266 0.6282 F
0.2734 0.1282 0.4907 F
0.1282 0.4907 0.2734 F
0.3718 0.5093 0.7734 F
0.2266 0.8718 0.9907 F
0.4907 0.2734 0.1282 F
0.5093 0.7734 0.3718 F
0.7734 0.3718 0.5093 F
0.6282 0.0093 0.7266 F
0.8718 0.9907 0.2266 F
0.7266 0.6282 0.0093 F
0.9907 0.2266 0.8718 F
```



x) Density functional theory data (GGA+U) for LiVF3 after structural relaxation.

Computed properties:
Fermi-level density of states ... 0.000 states/eV/atom

```
LiVF3
1.0
5.5822 0.0000 0.0000
0.0000 3.2654 -0.0003
0.0000 1.6369 6.4752
Li V F
2 2 6
direct
0.2500 0.9326 0.1251 Li
0.7500 0.0674 0.8749 Li
0.2500 0.6682 0.6630 V
0.7500 0.3318 0.3370 V
0.9995 0.8344 0.3314 F
0.5005 0.8344 0.3314 F
0.2500 0.5044 0.9816 F
0.7500 0.4956 0.0184 F
0.4995 0.1656 0.6686 F
0.0005 0.1656 0.6686 F
```



y) Density functional theory data (GGA+U) for LiVF3 after structural relaxation.

Computed properties:
Fermi-level density of states ... 0.000 states/eV/atom

```
LiVF3
1.0
5.8382 0.0000 0.0000
-2.9191 5.0561 0.0000
0.0000 0.0000 5.8794
Li V F
2 2 6
direct
0.6667 0.3333 0.7500 Li
0.3333 0.6667 0.2500 Li
0.0000 0.0000 0.5000 V
0.0000 0.0000 0.0000 V
0.3059 0.1529 0.7500 F
0.8471 0.6941 0.7500 F
0.1529 0.8471 0.2500 F
0.8471 0.1529 0.7500 F
0.1529 0.3059 0.2500 F
0.6941 0.8471 0.2500 F
```



Stability ranking, top and bottom: w) is the most stable and y) is the least stable.